Compound: Er2WO6
Source: the Alexandria database
Functional: GGA+U
Structure: optimized geometry

Output
**Final energy**: -73.17 eV/f.u.
**Mass density**: 8.7 Mg/m³
**Fermi-level density of states**: 0.0000 states/eV/atom
**Offset from the most stable computed form**: 0.1 kJ/mol of atoms
**M_tot**: 0.00 μB per cell

abc: 5.539 16.119 10.563
angles: 90.00 90.00 90.00
Space group Pbca (No. 61)
Asymmetric unit:
Er: 0.046 0.227 0.145 (multiplicity 8)
Er: 0.101 0.061 0.358 (multiplicity 8)
W: 0.113 0.121 0.879 (multiplicity 8)
O: 0.077 0.022 0.786 (multiplicity 8)
O: 0.096 0.608 0.486 (multiplicity 8)
O: 0.117 0.572 0.958 (multiplicity 8)
O: 0.161 0.674 0.731 (multiplicity 8)
O: 0.179 0.645 0.229 (multiplicity 8)
O: 0.188 0.231 0.945 (multiplicity 8)